Entry 1:
Crystalline Na3SiAu4 at its relaxed geometry, computed with PBE.

Output
Crystal system: orthorhombic
Formation energy (no corrections): -256 meV/atom

a b c (Å): 6.5232 6.5232 6.5232
angles (deg): 97.25 105.28 127.61
Fractional positions:
Na1 0.5738 0.7517 0.3255
Na2 0.5738 0.2483 0.8222
Na3 0.9270 0.0000 0.9270
Si1 0.0561 0.5000 0.5561
Au1 0.1953 0.7404 0.9356
Au2 0.5574 0.2425 0.3148
Au3 0.0723 0.7575 0.3148
Au4 0.1953 0.2596 0.4549

***

Entry 2:
Crystalline TaZnGa2 at its relaxed geometry, computed with PBE.

Output
Crystal system: tetragonal
Formation energy: -0.14 eV/atom

a b c (Å): 3.7697 3.7697 5.2130
angles (deg): 111.20 111.20 90.00
Fractional positions:
Ga1 0.5000 0.5000 0.0000
Ga2 0.7500 0.2500 0.5000
Zn1 0.2500 0.7500 0.5000
Ta1 0.0000 0.0000 0.0000

***

The evaluated calculated total energy for the records listed, in turn: -3.068, -4.931 eV per atom.